(1)
Density functional theory data (PBE) for crystalline RbBeAl2Sb at its relaxed geometry.

Values from the calculation:
SG = No. 123
Final energy = -2.85 eV per atom
N(E_F) = 3.0 states/eV/cell
Magnetic moment = 0.00 μB per cell
Mass density = 3.6 Mg/m³

Unit cell a=4.891 b=5.248 c=4.891 alpha=90.00 beta=90.00 gamma=90.00
Fractional coordinates of all 5 atoms:
Sb1 0.000 0.500 0.000
Rb1 0.500 0.500 0.500
Be1 0.000 0.000 0.000
Al1 0.500 0.000 0.000
Al2 0.000 0.000 0.500

(2)
Density functional theory data (PBE) for crystalline Rb2TiBeAl at its relaxed geometry.

Values from the calculation:
SG = No. 123
Final energy = -2.21 eV per atom
N(E_F) = 5.5 states/eV/cell
Magnetic moment = 3.02 μB per cell
Mass density = 2.1 Mg/m³

Unit cell a=6.440 b=6.440 c=4.886 alpha=90.00 beta=90.00 gamma=90.00
Last column: magnetic moment on the atom in μB.
Fractional coordinates of all 5 atoms:
Rb1 0.000 0.500 0.000  0.02
Rb2 0.500 0.000 0.000  0.02
Ti1 0.000 0.000 0.500  1.78
Al1 0.500 0.500 0.500  0.02
Be1 0.000 0.000 0.000  0.11

(3)
Density functional theory data (PBE) for crystalline BeAl2Re at its relaxed geometry.

Values from the calculation:
SG = No. 123
Final energy = -5.74 eV per atom
N(E_F) = 2.3 states/eV/cell
Magnetic moment = 0.00 μB per cell
Mass density = 7.5 Mg/m³

Unit cell a=2.690 b=2.690 c=7.616 alpha=90.00 beta=90.00 gamma=90.00
Fractional coordinates of all 4 atoms:
Re1 0.500 0.500 0.750
Be1 0.500 0.500 0.250
Al1 0.000 0.000 0.484
Al2 0.000 0.000 0.016

(4)
Density functional theory data (PBE) for crystalline BeAlRe at its relaxed geometry.

Values from the calculation:
SG = No. 44
Final energy = -6.69 eV per atom
N(E_F) = 2.0 states/eV/cell
Magnetic moment = 0.00 μB per cell
Mass density = 9.6 Mg/m³

Unit cell a=4.741 b=4.741 c=4.741 alpha=146.10 beta=139.62 gamma=53.72
Fractional coordinates of all 3 atoms:
Re1 0.682 0.682 0.000
Al1 0.997 0.997 0.000
Be1 0.321 0.321 0.000

(5)
Density functional theory data (PBE) for crystalline BeAl2Re at its relaxed geometry.

Values from the calculation:
SG = No. 139
Final energy = -6.07 eV per atom
N(E_F) = 1.3 states/eV/cell
Magnetic moment = 0.70 μB per cell
Mass density = 7.8 Mg/m³

Unit cell a=4.718 b=4.718 c=4.718 alpha=134.22 beta=134.22 gamma=66.75
Last column: magnetic moment on the atom in μB.
Fractional coordinates of all 4 atoms:
Be1 0.250 0.750 0.500  0.01
Al1 0.000 0.000 0.000  0.00
Al2 0.500 0.500 0.000  0.00
Re1 0.750 0.250 0.500  0.60

(6)
Density functional theory data (PBE) for crystalline BeAl2Re at its relaxed geometry.

Values from the calculation:
SG = No. 12
Final energy = -5.88 eV per atom
N(E_F) = 1.9 states/eV/cell
Magnetic moment = 0.00 μB per cell
Mass density = 7.5 Mg/m³

Unit cell a=4.703 b=4.703 c=4.611 alpha=84.23 beta=84.23 gamma=32.82
Fractional coordinates of all 4 atoms:
Al1 0.008 0.008 0.999
Al2 0.492 0.492 0.501
Be1 0.250 0.250 0.250
Re1 0.750 0.750 0.750